This record from the Alexandria database describes an optimized crystal structure of MgFeF2. The functional is GGA+U.

Values from the calculation:
**Energy**: -4.67 eV per atom

abc: 8.273 8.273 8.273
angles: 20.89 20.89 20.89
Each line ends with the local moment (μB).
Fractional coordinates of all 4 atoms:
F  0.126  0.126  0.126  0.00
Mg  0.500  0.500  0.500  0.00
Fe  0.000  0.000  0.000  3.54
F  0.874  0.874  0.874  0.00